1.
VASP calculation (PBEsol) on crystalline BaTl4Pb at its relaxed geometry.

Lattice parameters (Å, degrees): 6.417 6.417 6.417 60.00 60.00 60.00
Sites, in units of the cell vectors:
1 Tl 0.374 0.877 0.374
2 Tl 0.374 0.374 0.877
3 Tl 0.374 0.374 0.374
4 Pb 0.000 0.000 0.000
5 Tl 0.877 0.374 0.374
6 Ba 0.750 0.750 0.750

Values from the calculation:
- formation energy from the elements (eV/atom) = -0.160
- uncorrected energy (eV/atom) = -2.94
- symmetry = F-43m
- total moment (μB per formula unit) = 0.00
- mass density (g cm⁻³) = 10.33

=====

2.
VASP calculation (PBEsol) on crystalline BaTlPb4 at its relaxed geometry.

Lattice parameters (Å, degrees): 6.506 6.506 6.506 60.00 60.00 60.00
Sites, in units of the cell vectors:
1 Pb 0.374 0.374 0.877
2 Tl 0.750 0.750 0.750
3 Pb 0.374 0.877 0.374
4 Ba 0.000 0.000 0.000
5 Pb 0.877 0.374 0.374
6 Pb 0.374 0.374 0.374

Values from the calculation:
- formation energy from the elements (eV/atom) = -0.226
- uncorrected energy (eV/atom) = -3.69
- symmetry = F-43m
- total moment (μB per formula unit) = 0.00
- mass density (g cm⁻³) = 9.98

=====

3.
VASP calculation (PBEsol) on crystalline BaTlPb2 at its relaxed geometry.

Lattice parameters (Å, degrees): 4.953 4.953 6.280 113.23 113.23 90.00
Sites, in units of the cell vectors:
1 Pb 0.750 0.250 0.500
2 Pb 0.250 0.750 0.500
3 Tl 0.000 0.000 0.000
4 Ba 0.500 0.500 0.000

Values from the calculation:
- formation energy from the elements (eV/atom) = -0.321
- uncorrected energy (eV/atom) = -3.52
- symmetry = I4/mmm
- total moment (μB per formula unit) = 0.00
- energy relative to the lowest polymorph listed for this composition (eV per atom) = 0.029
- mass density (g cm⁻³) = 9.82